# 1
Material: Tb3Zn8Au3
Method: DFT, PBE
State: relaxed

Energy of formation from the pure elements = -0.4749 eV/atom
ρ = 10.086 Mg/m³
Relative energy among the computed polymorphs = 0 meV per atom

Unit cell a=8.1827 b=8.1827 c=9.2712 alpha=122.91 beta=122.91 gamma=30.71
Last column: nearest neighbours and their distance in Å.
Sites, in units of the cell vectors:
Tb 0.0000 0.0000 0.0000  8 Zn 3.17-3.37, 4 Au 3.20
Tb 0.2976 0.2976 0.3033  10 Zn 3.04-3.27, 2 Au 3.14
Tb 0.7024 0.7024 0.6967  10 Zn 3.04-3.27, 2 Au 3.14
Zn 0.1356 0.1356 0.4141  5 Zn 2.51-2.79, 1 Au 2.67
Zn 0.1368 0.1368 0.8468  4 Au 2.62-2.76, 2 Zn 2.83
Zn 0.3347 0.3347 0.6880  4 Zn 2.51-2.71, 1 Au 2.61
Zn 0.4979 0.4979 0.6873  5 Zn 2.58-2.83, 3 Au 2.68-2.79
Zn 0.5021 0.5021 0.3127  5 Zn 2.58-2.83, 3 Au 2.68-2.79
Zn 0.6653 0.6653 0.3120  4 Zn 2.51-2.71, 1 Au 2.61
Zn 0.8632 0.8632 0.1532  4 Au 2.62-2.76, 2 Zn 2.83
Zn 0.8644 0.8644 0.5859  5 Zn 2.51-2.79, 1 Au 2.67
Au 0.0000 0.0000 0.5000  8 Zn 2.67-2.79
Au 0.3432 0.3432 0.9769  5 Zn 2.61-2.76
Au 0.6568 0.6568 0.0231  5 Zn 2.61-2.76


# 2
Material: VCrCoIr
Method: DFT, PBE
State: relaxed

Energy of formation from the pure elements = -0.2185 eV/atom
ρ = 11.806 Mg/m³
Relative energy among the computed polymorphs = 0 meV per atom

Unit cell a=3.6668 b=3.6755 c=3.6953 alpha=90.00 beta=90.00 gamma=90.00
Last column: nearest neighbours and their distance in Å.
Sites, in units of the cell vectors:
V 0.0000 0.0000 0.0000  4 Co 2.60, 4 Ir 2.60, 4 Cr 2.61
Cr 0.0000 0.5000 0.5000  4 Ir 2.60, 4 Co 2.60, 4 V 2.61
Co 0.5000 0.5000 0.0000  4 V 2.60, 4 Cr 2.60, 4 Ir 2.61
Ir 0.5000 0.0000 0.5000  4 Cr 2.60, 4 V 2.60, 4 Co 2.61


Number 1: spin magnetization 0.000 μB per atom, uncorrected energy -2.897 eV/atom. Number 2: spin magnetization 0.000 μB per atom, uncorrected energy -8.896 eV/atom.